[1]
# GGA-PBE UP2RuPt2, optimized geometry
# - energy of formation from the pure elements (eV per atom) = -0.556
# - symmetry = Pmc2_1, No. 26
data_UP2RuPt2
_symmetry_space_group_name_H-M 'P 1'
_symmetry_Int_Tables_number 1
_cell_length_a 4.267
_cell_length_b 6.910
_cell_length_c 6.727
_cell_angle_alpha 90.00
_cell_angle_beta 90.00
_cell_angle_gamma 90.00
loop_
_symmetry_equiv_pos_as_xyz
'x,y,z'
loop_
_atom_site_label
_atom_site_type_symbol
_atom_site_fract_x
_atom_site_fract_y
_atom_site_fract_z
_atom_site_occupancy
U1 U 0.000 0.002 0.415 1
U2 U 0.000 0.502 0.585 1
P1 P 0.000 0.165 0.813 1
P2 P 0.500 0.306 0.362 1
P3 P 0.000 0.665 0.187 1
P4 P 0.500 0.806 0.638 1
Ru1 Ru 0.500 0.177 0.689 1
Ru2 Ru 0.500 0.677 0.311 1
Pt1 Pt 0.500 0.053 0.111 1
Pt2 Pt 0.000 0.342 0.101 1
Pt3 Pt 0.500 0.553 0.889 1
Pt4 Pt 0.000 0.842 0.899 1

[2]
# GGA-PBE UPRuPt, optimized geometry
# - energy of formation from the pure elements (eV per atom) = -0.730
# - symmetry = P4/nmm, No. 129
data_UPRuPt
_symmetry_space_group_name_H-M 'P 1'
_symmetry_Int_Tables_number 1
_cell_length_a 3.886
_cell_length_b 3.886
_cell_length_c 9.286
_cell_angle_alpha 90.00
_cell_angle_beta 90.00
_cell_angle_gamma 90.00
loop_
_symmetry_equiv_pos_as_xyz
'x,y,z'
loop_
_atom_site_label
_atom_site_type_symbol
_atom_site_fract_x
_atom_site_fract_y
_atom_site_fract_z
_atom_site_occupancy
U1 U 0.000 0.500 0.773 1
U2 U 0.500 0.000 0.227 1
P1 P 0.000 0.500 0.360 1
P2 P 0.500 0.000 0.640 1
Ru1 Ru 0.000 0.000 0.500 1
Ru2 Ru 0.500 0.500 0.500 1
Pt1 Pt 0.500 0.000 0.911 1
Pt2 Pt 0.000 0.500 0.089 1

[3]
# GGA-PBE UP2Ru2Pt, optimized geometry
# - energy of formation from the pure elements (eV per atom) = -0.560
# - symmetry = Pmc2_1, No. 26
data_UP2Ru2Pt
_symmetry_space_group_name_H-M 'P 1'
_symmetry_Int_Tables_number 1
_cell_length_a 3.859
_cell_length_b 5.831
_cell_length_c 8.399
_cell_angle_alpha 90.00
_cell_angle_beta 90.00
_cell_angle_gamma 90.00
loop_
_symmetry_equiv_pos_as_xyz
'x,y,z'
loop_
_atom_site_label
_atom_site_type_symbol
_atom_site_fract_x
_atom_site_fract_y
_atom_site_fract_z
_atom_site_occupancy
U1 U 0.000 0.976 0.438 1
U2 U 0.000 0.476 0.562 1
P1 P 0.000 0.264 0.896 1
P2 P 0.500 0.256 0.303 1
P3 P 0.000 0.764 0.104 1
P4 P 0.500 0.756 0.697 1
Ru1 Ru 0.500 0.023 0.070 1
Ru2 Ru 0.000 0.366 0.159 1
Ru3 Ru 0.500 0.523 0.930 1
Ru4 Ru 0.000 0.866 0.841 1
Pt1 Pt 0.500 0.160 0.697 1
Pt2 Pt 0.500 0.660 0.303 1

[4]
# GGA-PBE UP2Ru5Pt, optimized geometry
# - energy of formation from the pure elements (eV per atom) = -0.250
# - symmetry = P4/mmm, No. 123
data_UP2Ru5Pt
_symmetry_space_group_name_H-M 'P 1'
_symmetry_Int_Tables_number 1
_cell_length_a 4.066
_cell_length_b 4.066
_cell_length_c 8.305
_cell_angle_alpha 90.00
_cell_angle_beta 90.00
_cell_angle_gamma 90.00
loop_
_symmetry_equiv_pos_as_xyz
'x,y,z'
loop_
_atom_site_label
_atom_site_type_symbol
_atom_site_fract_x
_atom_site_fract_y
_atom_site_fract_z
_atom_site_occupancy
U1 U 0.000 0.000 0.500 1
P1 P 0.500 0.500 0.129 1
P2 P 0.500 0.500 0.871 1
Ru1 Ru 0.000 0.500 0.259 1
Ru2 Ru 0.500 0.000 0.259 1
Ru3 Ru 0.000 0.500 0.741 1
Ru4 Ru 0.500 0.000 0.741 1
Ru5 Ru 0.500 0.500 0.500 1
Pt1 Pt 0.000 0.000 0.000 1

[5]
# GGA-PBE ZnP2RuPt, optimized geometry
# - energy of formation from the pure elements (eV per atom) = 1.311
# - symmetry = P4/mmm, No. 123
data_ZnP2RuPt
_symmetry_space_group_name_H-M 'P 1'
_symmetry_Int_Tables_number 1
_cell_length_a 4.412
_cell_length_b 4.549
_cell_length_c 4.412
_cell_angle_alpha 90.00
_cell_angle_beta 90.00
_cell_angle_gamma 90.00
loop_
_symmetry_equiv_pos_as_xyz
'x,y,z'
loop_
_atom_site_label
_atom_site_type_symbol
_atom_site_fract_x
_atom_site_fract_y
_atom_site_fract_z
_atom_site_occupancy
Ru1 Ru 0.000 0.500 0.000 1
Zn1 Zn 0.000 0.000 0.000 1
Pt1 Pt 0.500 0.500 0.500 1
P1 P 0.000 0.000 0.500 1
P2 P 0.500 0.000 0.000 1

[6]
# GGA-PBE P2PtS2, optimized geometry
# - offset from the most stable computed form (meV/atom) = 159
# - symmetry = P4/mmm, No. 123
data_P2PtS2
_symmetry_space_group_name_H-M 'P 1'
_symmetry_Int_Tables_number 1
_cell_length_a 4.476
_cell_length_b 4.476
_cell_length_c 4.319
_cell_angle_alpha 90.00
_cell_angle_beta 90.00
_cell_angle_gamma 90.00
loop_
_symmetry_equiv_pos_as_xyz
'x,y,z'
loop_
_atom_site_label
_atom_site_type_symbol
_atom_site_fract_x
_atom_site_fract_y
_atom_site_fract_z
_atom_site_occupancy
P1 P 0.000 0.500 0.000 1
P2 P 0.500 0.000 0.000 1
S1 S 0.000 0.000 0.000 1
S2 S 0.000 0.000 0.500 1
Pt1 Pt 0.500 0.500 0.500 1

[7]
# GGA-PBE P2PtS2, optimized geometry
# - offset from the most stable computed form (meV/atom) = 62
# - symmetry = P4/mmm, No. 123
data_P2PtS2
_symmetry_space_group_name_H-M 'P 1'
_symmetry_Int_Tables_number 1
_cell_length_a 4.739
_cell_length_b 4.739
_cell_length_c 4.562
_cell_angle_alpha 90.00
_cell_angle_beta 90.00
_cell_angle_gamma 90.00
loop_
_symmetry_equiv_pos_as_xyz
'x,y,z'
loop_
_atom_site_label
_atom_site_type_symbol
_atom_site_fract_x
_atom_site_fract_y
_atom_site_fract_z
_atom_site_occupancy
P1 P 0.500 0.500 0.500 1
P2 P 0.000 0.000 0.500 1
S1 S 0.000 0.500 0.000 1
S2 S 0.500 0.000 0.000 1
Pt1 Pt 0.000 0.000 0.000 1

[8]
# GGA-PBE P2PtS2, optimized geometry
# - offset from the most stable computed form (meV/atom) = 59
# - symmetry = P4/mmm, No. 123
data_P2PtS2
_symmetry_space_group_name_H-M 'P 1'
_symmetry_Int_Tables_number 1
_cell_length_a 4.622
_cell_length_b 4.622
_cell_length_c 4.838
_cell_angle_alpha 90.00
_cell_angle_beta 90.00
_cell_angle_gamma 90.00
loop_
_symmetry_equiv_pos_as_xyz
'x,y,z'
loop_
_atom_site_label
_atom_site_type_symbol
_atom_site_fract_x
_atom_site_fract_y
_atom_site_fract_z
_atom_site_occupancy
P1 P 0.000 0.500 0.000 1
P2 P 0.500 0.000 0.000 1
S1 S 0.500 0.500 0.500 1
S2 S 0.000 0.000 0.500 1
Pt1 Pt 0.000 0.000 0.000 1

[9]
# GGA-PBE PPt3S, optimized geometry
# - offset from the most stable computed form (meV/atom) = 0
# - symmetry = Pm-3m, No. 221
data_PPt3S
_symmetry_space_group_name_H-M 'P 1'
_symmetry_Int_Tables_number 1
_cell_length_a 4.521
_cell_length_b 4.521
_cell_length_c 4.521
_cell_angle_alpha 90.00
_cell_angle_beta 90.00
_cell_angle_gamma 90.00
loop_
_symmetry_equiv_pos_as_xyz
'x,y,z'
loop_
_atom_site_label
_atom_site_type_symbol
_atom_site_fract_x
_atom_site_fract_y
_atom_site_fract_z
_atom_site_occupancy
P1 P 0.000 0.000 0.000 1
S1 S 0.500 0.500 0.500 1
Pt1 Pt 0.000 0.500 0.000 1
Pt2 Pt 0.000 0.000 0.500 1
Pt3 Pt 0.500 0.000 0.000 1

[10]
# GGA-PBE P2PtS2, optimized geometry
# - offset from the most stable computed form (meV/atom) = 0
# - symmetry = P4/mmm, No. 123
data_P2PtS2
_symmetry_space_group_name_H-M 'P 1'
_symmetry_Int_Tables_number 1
_cell_length_a 4.331
_cell_length_b 4.331
_cell_length_c 4.544
_cell_angle_alpha 90.00
_cell_angle_beta 90.00
_cell_angle_gamma 90.00
loop_
_symmetry_equiv_pos_as_xyz
'x,y,z'
loop_
_atom_site_label
_atom_site_type_symbol
_atom_site_fract_x
_atom_site_fract_y
_atom_site_fract_z
_atom_site_occupancy
P1 P 0.000 0.000 0.000 1
P2 P 0.000 0.000 0.500 1
S1 S 0.000 0.500 0.000 1
S2 S 0.500 0.000 0.000 1
Pt1 Pt 0.500 0.500 0.500 1

[11]
# GGA-PBE SbP2PtS, optimized geometry
# - offset from the most stable computed form (meV/atom) = 0
# - symmetry = P4/mmm, No. 123
data_SbP2PtS
_symmetry_space_group_name_H-M 'P 1'
_symmetry_Int_Tables_number 1
_cell_length_a 4.644
_cell_length_b 4.644
_cell_length_c 4.923
_cell_angle_alpha 90.00
_cell_angle_beta 90.00
_cell_angle_gamma 90.00
loop_
_symmetry_equiv_pos_as_xyz
'x,y,z'
loop_
_atom_site_label
_atom_site_type_symbol
_atom_site_fract_x
_atom_site_fract_y
_atom_site_fract_z
_atom_site_occupancy
Sb1 Sb 0.500 0.500 0.500 1
S1 S 0.000 0.000 0.500 1
Pt1 Pt 0.000 0.000 0.000 1
P1 P 0.000 0.500 0.000 1
P2 P 0.500 0.000 0.000 1

[12]
# GGA-PBE ScP2PtS, optimized geometry
# - offset from the most stable computed form (meV/atom) = 527
# - symmetry = P4/mmm, No. 123
data_ScP2PtS
_symmetry_space_group_name_H-M 'P 1'
_symmetry_Int_Tables_number 1
_cell_length_a 4.898
_cell_length_b 4.898
_cell_length_c 4.691
_cell_angle_alpha 90.00
_cell_angle_beta 90.00
_cell_angle_gamma 90.00
loop_
_symmetry_equiv_pos_as_xyz
'x,y,z'
loop_
_atom_site_label
_atom_site_type_symbol
_atom_site_fract_x
_atom_site_fract_y
_atom_site_fract_z
_atom_site_occupancy
Sc1 Sc 0.000 0.000 0.000 1
P1 P 0.000 0.500 0.000 1
P2 P 0.500 0.000 0.000 1
S1 S 0.000 0.000 0.500 1
Pt1 Pt 0.500 0.500 0.500 1

[13]
# GGA-PBE Sc2PPtS, optimized geometry
# - symmetry = P4/mmm, No. 123
data_Sc2PPtS
_symmetry_space_group_name_H-M 'P 1'
_symmetry_Int_Tables_number 1
_cell_length_a 4.924
_cell_length_b 4.304
_cell_length_c 4.924
_cell_angle_alpha 90.00
_cell_angle_beta 90.00
_cell_angle_gamma 90.00
loop_
_symmetry_equiv_pos_as_xyz
'x,y,z'
loop_
_atom_site_label
_atom_site_type_symbol
_atom_site_fract_x
_atom_site_fract_y
_atom_site_fract_z
_atom_site_occupancy
Sc1 Sc 0.000 0.000 0.500 1
Sc2 Sc 0.500 0.000 0.000 1
P1 P 0.000 0.000 0.000 1
S1 S 0.000 0.500 0.000 1
Pt1 Pt 0.500 0.500 0.500 1

Number 1: final energy -7.80 eV/atom. Number 2: final energy -8.73 eV/atom. Number 3: final energy -8.34 eV/atom. Number 4: final energy -8.53 eV/atom. Number 5: final energy -4.17 eV/atom. Number 6: final energy -3.95 eV/atom. Number 7: final energy -4.05 eV/atom. Number 8: final energy -4.05 eV/atom. Number 9: final energy -5.02 eV/atom. Number 10: final energy -4.11 eV/atom. Number 11: final energy -4.45 eV/atom. Number 12: final energy -4.78 eV/atom. Number 13: final energy -5.91 eV/atom.